1.
{
  "formula": "V3Ir2Os",
  "functional": "PBE",
  "state": "optimized geometry",
  "cell": [[2.7663, 0.0000, 0.0000], [0.0000, 2.7663, 0.0000], [0.0000, 0.0000, 10.9408]],
  "species": ["V", "V", "V", "Ir", "Ir", "Os"],
  "fractional_positions": [[0.0000, 0.0000, 0.0000], [0.0000, 0.0000, 0.3352], [0.0000, 0.0000, 0.6648], [0.5000, 0.5000, 0.1690], [0.5000, 0.5000, 0.8310], [0.5000, 0.5000, 0.5000]],
  "crystal_system": "tetragonal",
  "ef_mev_per_atom": -369,
  "n_ef_per_ev_fu": 8.42,
  "sg": "P4/mmm",
  "density_g_cm3": 14.429,
  "total_magnetization_mub_per_cell": 0.0
}



2.
{
  "formula": "Rb2AlGeCl6",
  "functional": "PBE",
  "state": "optimized geometry",
  "cell": [[-3.6646, 3.6646, 5.1790], [3.6646, -3.6646, 5.1790], [3.6646, 3.6646, -5.1790]],
  "species": ["Rb", "Rb", "Al", "Ge", "Cl", "Cl", "Cl", "Cl", "Cl", "Cl"],
  "fractional_positions": [[0.2500, 0.7500, 0.5000], [0.7500, 0.2500, 0.5000], [0.0000, 0.0000, 0.0000], [0.5000, 0.5000, 0.0000], [0.2342, 0.2342, 0.0000], [0.2354, 0.2354, 0.4707], [0.2354, 0.7646, 0.0000], [0.7646, 0.2354, 0.0000], [0.7646, 0.7646, 0.5293], [0.7658, 0.7658, 0.0000]],
  "crystal_system": "tetragonal",
  "n_ef_per_ev_fu": 3.36,
  "sg": "I4/mmm",
  "density_g_cm3": 2.885,
  "total_magnetization_mub_per_cell": 0.0,
  "e_form_raw_ev_per_atom": -1.366
}



3.
{
  "formula": "NaCaHoAl",
  "functional": "PBE",
  "state": "optimized geometry",
  "cell": [[7.6075, 0.0000, 0.0000], [0.0000, 7.6075, 0.0000], [0.0000, 0.0000, 7.6075]],
  "species": ["Na", "Na", "Na", "Na", "Ca", "Ca", "Ca", "Ca", "Ho", "Ho", "Ho", "Ho", "Al", "Al", "Al", "Al"],
  "fractional_positions": [[0.0000, 0.0000, 0.0000], [0.0000, 0.5000, 0.5000], [0.5000, 0.0000, 0.5000], [0.5000, 0.5000, 0.0000], [0.2500, 0.2500, 0.2500], [0.2500, 0.7500, 0.7500], [0.7500, 0.2500, 0.7500], [0.7500, 0.7500, 0.2500], [0.2500, 0.2500, 0.7500], [0.2500, 0.7500, 0.2500], [0.7500, 0.2500, 0.2500], [0.7500, 0.7500, 0.7500], [0.0000, 0.0000, 0.5000], [0.0000, 0.5000, 0.0000], [0.5000, 0.0000, 0.0000], [0.5000, 0.5000, 0.5000]],
  "crystal_system": "cubic",
  "ef_mev_per_atom": -15,
  "n_ef_per_ev_fu": 3.62,
  "sg": "F-43m",
  "density_g_cm3": 3.847,
  "total_magnetization_mub_per_cell": 0.0
}



4.
{
  "formula": "LiScZnGe",
  "functional": "PBE",
  "state": "optimized geometry",
  "cell": [[6.4963, 0.0000, 0.0000], [0.0000, 6.4963, 0.0000], [0.0000, 0.0000, 6.4963]],
  "species": ["Li", "Li", "Li", "Li", "Sc", "Sc", "Sc", "Sc", "Zn", "Zn", "Zn", "Zn", "Ge", "Ge", "Ge", "Ge"],
  "fractional_positions": [[0.0000, 0.0000, 0.0000], [0.0000, 0.5000, 0.5000], [0.5000, 0.0000, 0.5000], [0.5000, 0.5000, 0.0000], [0.0000, 0.0000, 0.5000], [0.0000, 0.5000, 0.0000], [0.5000, 0.0000, 0.0000], [0.5000, 0.5000, 0.5000], [0.2500, 0.2500, 0.7500], [0.2500, 0.7500, 0.2500], [0.7500, 0.2500, 0.2500], [0.7500, 0.7500, 0.7500], [0.2500, 0.2500, 0.2500], [0.2500, 0.7500, 0.7500], [0.7500, 0.2500, 0.7500], [0.7500, 0.7500, 0.2500]],
  "crystal_system": "cubic",
  "ef_mev_per_atom": -433,
  "n_ef_per_ev_fu": 1.45,
  "sg": "F-43m",
  "density_g_cm3": 4.602,
  "total_magnetization_mub_per_cell": 0.0
}



5.
{
  "formula": "BaCo2P",
  "functional": "PBE",
  "state": "optimized geometry",
  "cell": [[4.7699, 0.0000, 0.0000], [0.0000, 4.7699, 0.0000], [0.0000, 0.0000, 6.9729]],
  "species": ["Ba", "Ba", "Co", "Co", "Co", "Co", "P", "P"],
  "fractional_positions": [[0.0000, 0.0000, 0.0000], [0.5000, 0.5000, 0.5000], [0.0000, 0.0000, 0.5000], [0.0000, 0.5000, 0.7500], [0.5000, 0.0000, 0.2500], [0.5000, 0.5000, 0.0000], [0.0000, 0.5000, 0.2500], [0.5000, 0.0000, 0.7500]],
  "crystal_system": "tetragonal",
  "ef_mev_per_atom": 730,
  "n_ef_per_ev_fu": 6.25,
  "sg": "I-4m2",
  "density_g_cm3": 5.991,
  "total_magnetization_mub_per_cell": 7.4
}



6.
{
  "formula": "BaW2Cl",
  "functional": "PBE",
  "state": "optimized geometry",
  "cell": [[3.4226, 0.0000, 0.0000], [0.0000, 6.3965, 0.0000], [0.0000, 0.0000, 9.8645]],
  "species": ["Ba", "Ba", "W", "W", "W", "W", "Cl", "Cl"],
  "fractional_positions": [[0.0000, 0.0000, 0.0000], [0.5000, 0.5000, 0.5000], [0.0000, 0.0000, 0.4883], [0.0000, 0.5000, 0.1610], [0.5000, 0.0000, 0.6610], [0.5000, 0.5000, 0.9883], [0.0000, 0.5000, 0.7758], [0.5000, 0.0000, 0.2758]],
  "crystal_system": "orthorhombic",
  "n_ef_per_ev_fu": 1.95,
  "sg": "Imm2",
  "density_g_cm3": 8.311,
  "total_magnetization_mub_per_cell": 1.9,
  "e_form_raw_ev_per_atom": 0.778
}